Rb2FeBiI: relaxed, PBE.

Lattice parameters (Å, degrees): 6.9374 6.9374 4.9344 90.00 90.00 90.00
Atoms (fractional coordinates):
Rb 0.0000 0.5000 0.0000
Rb 0.5000 0.0000 0.0000
Fe 0.0000 0.0000 0.0000
Bi 0.0000 0.0000 0.5000
I 0.5000 0.5000 0.5000

Results
Mass density in g/cm3: 3.9
Crystal system: tetragonal
E_form (uncorrected) in eV per atom: -0.111
Space-group type: No. 123